No. 1
First-principles (PBE-GGA) data for a relaxed Ba2CuAgAs2 crystal, as listed in OQMD.

Values from the calculation:
The crystal system is hexagonal. Its raw total energy is -0.148 hartree per atom.

Cell: 4.533 4.533 9.155 Å, 90.00 90.00 120.00°
Fractional coordinates of all 6 atoms:
As 0.667 0.333 0.000
As 0.000 0.000 0.500
Cu 0.667 0.333 0.500
Ba 0.333 0.667 0.253
Ba 0.333 0.667 0.747
Ag 0.000 0.000 0.000



No. 2
First-principles (PBE-GGA) data for a relaxed Ba2CuAgAs2 crystal, as listed in OQMD.

Values from the calculation:
The crystal system is trigonal. Its raw total energy is -0.148 hartree per atom.

Cell: 4.547 4.547 9.181 Å, 90.00 90.00 120.00°
Fractional coordinates of all 6 atoms:
Ba 0.667 0.333 0.747
Ba 0.667 0.333 0.253
Cu 0.333 0.667 0.501
As 0.333 0.667 0.998
As 0.000 0.000 0.499
Ag 0.000 0.000 0.001



No. 3
First-principles (PBE-GGA) data for a relaxed BaAg2GeAs crystal, as listed in OQMD.

Values from the calculation:
The crystal system is tetragonal. Its raw total energy is -0.140 hartree per atom.

Cell: 6.455 6.455 6.455 Å, 137.92 137.92 61.03°
Fractional coordinates of all 5 atoms:
Ba 0.004 0.004 0.000
Ag 0.755 0.255 0.500
Ag 0.255 0.755 0.500
As 0.607 0.607 0.000
Ge 0.378 0.378 0.000



No. 4
First-principles (PBE-GGA) data for a relaxed BaAgAs2Ir crystal, as listed in OQMD.

Values from the calculation:
The total magnetization is 0.003 μB per atom. The crystal system is tetragonal. Its raw total energy is -0.183 hartree per atom.

Cell: 6.694 6.694 6.694 Å, 141.70 141.70 55.29°
Fractional coordinates of all 5 atoms:
Ir 0.500 0.500 0.000
Ba 0.250 0.750 0.500
Ag 0.000 0.000 0.000
As 0.613 0.113 0.500
As 0.887 0.387 0.500



No. 5
First-principles (PBE-GGA) data for a relaxed BaLiAgAs2 crystal, as listed in OQMD.

Values from the calculation:
The crystal system is tetragonal. Its raw total energy is -0.143 hartree per atom.

Cell: 6.394 6.394 6.394 Å, 138.10 138.10 60.75°
Fractional coordinates of all 5 atoms:
As 0.368 0.868 0.500
As 0.132 0.632 0.500
Ag 0.000 0.000 0.000
Ba 0.750 0.250 0.500
Li 0.500 0.500 0.000



No. 6
First-principles (PBE-GGA) data for a relaxed Ba2LiAgAs2 crystal, as listed in OQMD.

Values from the calculation:
The crystal system is hexagonal. Its raw total energy is -0.142 hartree per atom.

Cell: 4.643 4.643 8.983 Å, 90.00 90.00 120.00°
Fractional coordinates of all 6 atoms:
Li 0.667 0.333 0.500
Ag 0.000 0.000 0.000
Ba 0.333 0.667 0.748
Ba 0.333 0.667 0.252
As 0.000 0.000 0.500
As 0.667 0.333 0.000



No. 7
First-principles (PBE-GGA) data for a relaxed BaNiAgAs2 crystal, as listed in OQMD.

Values from the calculation:
The total magnetization is 0.000 μB per atom. The crystal system is tetragonal. Its raw total energy is -0.161 hartree per atom.

Cell: 6.434 6.434 6.434 Å, 139.88 139.88 58.04°
Fractional coordinates of all 5 atoms:
Ba 0.000 0.000 0.000
Ag 0.250 0.750 0.500
As 0.368 0.368 0.000
As 0.632 0.632 0.000
Ni 0.750 0.250 0.500



No. 8
First-principles (PBE-GGA) data for a relaxed BaAgAsO crystal, as listed in OQMD.

Values from the calculation:
As for the energy above the most stable polymorph in this dataset: 0.0 meV per atom. The crystal system is orthorhombic.

Cell: 3.658 8.191 5.996 Å, 90.00 90.00 90.00°
Fractional coordinates of all 8 atoms:
O 0.000 0.511 0.754
O 0.000 0.489 0.254
As 0.500 0.051 0.973
As 0.500 0.949 0.473
Ba 0.500 0.357 0.512
Ba 0.500 0.643 0.012
Ag 0.000 0.269 0.015
Ag 0.000 0.731 0.515